1.
A plane-wave DFT calculation with GGA-PBE was carried out for a relaxed structure of Fe2PbW.

Lattice parameters (Å, degrees): 6.3332 6.3332 6.3332 90.00 90.00 90.00
Space group F-43m (No. 216)
Inequivalent atoms, fractional coordinates:
Fe 0.0000 0.0000 0.0000 x4
Fe 0.2500 0.2500 0.2500 x4
Pb 0.0000 0.0000 0.5000 x4
W 0.2500 0.2500 0.7500 x4

Computed properties:
- Total magnetic moment: 3.87 μB/f.u.
- Calculated formation energy: 0.79 eV per atom

2.
A plane-wave DFT calculation with GGA-PBE was carried out for a relaxed structure of Sn3Pb.

Lattice parameters (Å, degrees): 3.4026 11.2546 5.9705 90.00 90.00 90.00
Space group Imm2 (No. 44)
Inequivalent atoms, fractional coordinates:
Sn 0.0000 0.0000 0.0000 x2
Sn 0.0000 0.2579 0.3776 x4
Pb 0.0000 0.5000 0.9929 x2

Computed properties:
- Total magnetic moment: 0.00 μB/f.u.
- Calculated formation energy: 0.06 eV per atom

3.
A plane-wave DFT calculation with GGA-PBE was carried out for a relaxed structure of HoErNi4.

Lattice parameters (Å, degrees): 7.1334 7.1334 7.1334 90.00 90.00 90.00
Space group F-43m (No. 216)
Inequivalent atoms, fractional coordinates:
Ho 0.0000 0.0000 0.0000 x4
Er 0.2500 0.2500 0.7500 x4
Ni 0.1249 0.1249 0.3751 x16

Computed properties:
- Total magnetic moment: 0.00 μB/f.u.
- Calculated formation energy: -0.47 eV per atom

4.
A plane-wave DFT calculation with GGA-PBE was carried out for a relaxed structure of Tm4TlIn.

Lattice parameters (Å, degrees): 3.6415 5.6165 8.7212 90.00 90.00 90.00
Space group Pmmm (No. 47)
Inequivalent atoms, fractional coordinates:
Tm 0.0000 0.0000 0.2006 x2
Tm 0.5000 0.5000 0.2964 x2
Tl 0.5000 0.0000 0.5000 x1
In 0.0000 0.5000 0.0000 x1

Computed properties:
- Total magnetic moment: 0.00 μB/f.u.
- E above lowest polymorph: 14.7 meV per atom
- Calculated formation energy: -0.04 eV per atom

5.
A plane-wave DFT calculation with GGA-PBE was carried out for a relaxed structure of Hf2As2W.

Lattice parameters (Å, degrees): 6.9612 6.9612 3.6548 90.00 90.00 90.00
Space group P4/mbm (No. 127)
Inequivalent atoms, fractional coordinates:
Hf 0.1570 0.3430 0.0000 x4
As 0.1479 0.6479 0.5000 x4
W 0.0000 0.0000 0.5000 x2

Computed properties:
- Total magnetic moment: 0.00 μB/f.u.
- Calculated formation energy: -0.50 eV per atom

6.
A plane-wave DFT calculation with GGA-PBE was carried out for a relaxed structure of PaNi2S.

Lattice parameters (Å, degrees): 4.6410 4.6410 10.0851 90.00 90.00 120.00
Space group R-3m (No. 166, hexagonal axes)
Inequivalent atoms, fractional coordinates:
Pa 0.0000 0.0000 0.0000 x3
Ni 0.0000 0.0000 0.2784 x6
S 0.0000 0.0000 0.5000 x3

Computed properties:
- Energy relative to the elements, uncorrected: -0.286 eV per atom
- Total magnetic moment: 0.00 μB/f.u.

7.
A plane-wave DFT calculation with GGA-PBE was carried out for a relaxed structure of Pr4YBi5.

Lattice parameters (Å, degrees): 4.6149 6.5229 23.0345 90.00 90.00 90.00
Space group Immm (No. 71)
Inequivalent atoms, fractional coordinates:
Pr 0.0000 0.0000 0.0998 x4
Pr 0.0000 0.0000 0.3017 x4
Y 0.0000 0.0000 0.5000 x2
Bi 0.0000 0.5000 0.0964 x4
Bi 0.0000 0.5000 0.2994 x4
Bi 0.0000 0.5000 0.5000 x2

Computed properties:
- Total magnetic moment: 0.00 μB/f.u.
- Calculated formation energy: -0.94 eV per atom

8.
A plane-wave DFT calculation with GGA-PBE was carried out for a relaxed structure of CaPmO2.

Lattice parameters (Å, degrees): 3.4402 3.4402 17.4167 90.00 90.00 120.00
Space group R-3m (No. 166, hexagonal axes)
Inequivalent atoms, fractional coordinates:
Ca 0.0000 0.0000 0.0000 x3
Pm 0.0000 0.0000 0.5000 x3
O 0.0000 0.0000 0.2539 x6

Computed properties:
- Energy relative to the elements, uncorrected: -2.822 eV per atom
- Total magnetic moment: 0.00 μB/f.u.
- E above lowest polymorph: 0.0 meV per atom

9.
A plane-wave DFT calculation with GGA-PBE was carried out for a relaxed structure of NdLuThZr.

Lattice parameters (Å, degrees): 7.7942 7.7942 7.7942 90.00 90.00 90.00
Space group F-43m (No. 216)
Inequivalent atoms, fractional coordinates:
Nd 0.0000 0.0000 0.0000 x4
Lu 0.2500 0.2500 0.7500 x4
Th 0.2500 0.2500 0.2500 x4
Zr 0.0000 0.0000 0.5000 x4

Computed properties:
- Total magnetic moment: 1.35 μB/f.u.
- Calculated formation energy: 0.23 eV per atom

10.
A plane-wave DFT calculation with GGA-PBE was carried out for a relaxed structure of ScNbAu3.

Lattice parameters (Å, degrees): 5.0643 5.0643 5.0643 90.00 90.00 90.00
Space group Pm-3m (No. 221)
Inequivalent atoms, fractional coordinates:
Sc 0.0000 0.0000 0.0000 x1
Nb 0.5000 0.5000 0.5000 x1
Au 0.0000 0.5000 0.5000 x3

Computed properties:
- Total magnetic moment: 0.60 μB/f.u.
- E above lowest polymorph: 0.0 meV per atom
- Calculated formation energy: 0.62 eV per atom